# 1
BaMg2As: relaxed, PBE-GGA.

Computed properties:
SG	P4mm (99)
energy of formation	-2.00	eV/f.u.

Lattice parameters (Å, degrees): 4.3002 4.3014 6.6275 89.98 90.00 90.00
Positions (direct):
Ba 0.5000 0.8748 0.6763
Mg 0.0000 0.8751 0.1855
As 0.0000 0.3748 0.4532
Mg 0.5000 0.3753 0.1851

=====

# 2
Sr5Tl2Pd: relaxed, PBE-GGA.

Computed properties:
SG	Pbam (55)
energy of formation	-3.00	eV/f.u.

Lattice parameters (Å, degrees): 5.2620 8.3457 13.5417 90.00 90.00 90.00
Positions (direct):
Pd 0.0000 0.5000 0.5000
Tl 0.5000 0.4248 0.8356
Sr 0.0000 0.8553 0.2030
Sr 0.0000 0.1447 0.7970
Sr 0.5000 0.1799 0.0798
Sr 0.5000 0.6799 0.4202
Tl 0.5000 0.5752 0.1644
Pd 0.0000 0.0000 0.0000
Tl 0.5000 0.9248 0.6644
Sr 0.5000 0.3201 0.5798
Sr 0.0000 0.0000 0.5000
Sr 0.0000 0.6447 0.7030
Sr 0.5000 0.8201 0.9202
Tl 0.5000 0.0752 0.3356
Sr 0.0000 0.3553 0.2970
Sr 0.0000 0.5000 0.0000

=====

# 3
YHo5Tl2In: relaxed, PBE-GGA.

Computed properties:
SG	I4/mcm (140)
energy of formation	-0.01	eV/f.u.

Lattice parameters (Å, degrees): 7.5567 7.5567 10.8401 110.40 110.40 90.00
Positions (direct):
In 0.2500 0.2500 0.5000
Ho 0.0000 0.0000 0.0000
Tl 0.1291 0.3709 0.0000
Tl 0.8709 0.6291 0.0000
Ho 0.1600 0.0778 0.7377
Y 0.2500 0.7500 0.5000
Ho 0.4222 0.3400 0.2623
Y 0.7500 0.2500 0.5000
Tl 0.6291 0.1291 0.0000
Ho 0.5778 0.6600 0.7377
Ho 0.0778 0.5778 0.7377
Tl 0.3709 0.8709 0.0000
Ho 0.5000 0.5000 0.0000
Ho 0.9222 0.4222 0.2623
In 0.7500 0.7500 0.5000
Ho 0.6600 0.1600 0.7377
Ho 0.8400 0.9222 0.2623
Ho 0.3400 0.8400 0.2623

=====

# 4
Li2TmPaS4: relaxed, PBE-GGA.

Computed properties:
formation energy (no corrections)	-1.631	eV per atom
SG	P2/m (10)

Lattice parameters (Å, degrees): 3.8176 6.7315 6.6263 109.49 90.00 90.00
Positions (direct):
Li 0.5000 0.0000 0.5000
S 0.5000 0.7510 0.7480
Pa 0.5000 0.5000 0.0000
Tm 0.0000 0.0000 0.0000
S 0.0000 0.2404 0.7409
Li 0.0000 0.5000 0.5000
S 0.0000 0.7596 0.2591
S 0.5000 0.2490 0.2520

=====

# 5
SrCdInNi: relaxed, PBE-GGA.

Computed properties:
SG	P4mm (99)
energy of formation	-0.39	eV/f.u.
energy relative to the lowest polymorph listed for this composition	99.0	meV per atom

Lattice parameters (Å, degrees): 3.4015 3.4015 7.9386 90.00 90.00 90.00
Positions (direct):
Ni 0.5000 0.5000 0.3176
Cd 0.0000 0.0000 0.5152
Sr 0.5000 0.5000 0.8312
In 0.0000 0.0000 0.1473

=====

# 6
LaNd2SmDy: relaxed, PBE-GGA.

Computed properties:
SG	P2/c (13)
energy of formation	1.32	eV/f.u.

Lattice parameters (Å, degrees): 6.6087 8.5497 6.3440 95.76 90.00 90.00
Positions (direct):
Sm 0.4360 0.0000 0.7500
Dy 0.1648 0.5000 0.7500
Dy 0.8352 0.5000 0.2500
Nd 0.6885 0.3118 0.7167
Sm 0.5640 0.0000 0.2500
Nd 0.6885 0.6882 0.7833
Nd 0.3115 0.3118 0.2167
Nd 0.3115 0.6882 0.2833
La 0.0000 0.0000 0.5000
La 0.0000 0.0000 0.0000

=====

# 7
SrC3: relaxed, PBE-GGA.

Computed properties:
SG	Pm-3m (221)
energy of formation	12.15	eV/f.u.
energy relative to the lowest polymorph listed for this composition	2451.0	meV per atom

Lattice parameters (Å, degrees): 3.7473 3.7473 3.7473 90.00 90.00 90.00
Positions (direct):
Sr 0.0000 0.0000 0.0000
C 0.5000 0.5000 0.0000
C 0.0000 0.5000 0.5000
C 0.5000 0.0000 0.5000

=====

# 8
CaNd12Ho6: relaxed, PBE-GGA.

Computed properties:
SG	R-3m (166)
energy of formation	3.49	eV/f.u.

Lattice parameters (Å, degrees): 8.8782 8.8782 8.8782 98.26 98.26 98.26
Positions (direct):
Nd 0.6426 0.6426 0.9148
Ho 0.9018 0.3433 0.9018
Nd 0.2391 0.5000 0.7609
Nd 0.6426 0.9148 0.6426
Nd 0.9148 0.6426 0.6426
Nd 0.2391 0.7609 0.5000
Nd 0.5000 0.2391 0.7609
Nd 0.3574 0.3574 0.0852
Nd 0.3574 0.0852 0.3574
Ho 0.0982 0.0982 0.6567
Ho 0.0982 0.6567 0.0982
Nd 0.0852 0.3574 0.3574
Nd 0.7609 0.5000 0.2391
Ho 0.6567 0.0982 0.0982
Ho 0.3433 0.9018 0.9018
Ho 0.9018 0.9018 0.3433
Nd 0.5000 0.7609 0.2391
Ca 0.0000 0.0000 0.0000
Nd 0.7609 0.2391 0.5000

=====

# 9
Ga5Sb: relaxed, PBE-GGA.

Computed properties:
formation energy (no corrections)	0.045	eV per atom
SG	Cmmm (65)

Lattice parameters (Å, degrees): 4.6517 4.5854 6.3128 111.30 90.00 90.00
Positions (direct):
Sb 0.0000 0.0000 0.0000
Ga 0.0000 0.6701 0.3402
Ga 0.5000 0.5000 0.0000
Ga 0.5000 0.1755 0.3511
Ga 0.5000 0.8245 0.6489
Ga 0.0000 0.3299 0.6598

=====

# 10
PrReB2: relaxed, PBE-GGA.

Computed properties:
SG	R-3m (166)
energy of formation	0.32	eV/f.u.

Lattice parameters (Å, degrees): 3.4352 3.4352 6.1366 73.75 73.75 60.00
Positions (direct):
Re 0.0000 0.0000 0.0000
B 0.7248 0.7248 0.8257
Pr 0.5000 0.5000 0.5000
B 0.2752 0.2752 0.1743

=====

# 11
HgBSb2Mo: relaxed, PBE-GGA.

Computed properties:
formation energy (no corrections)	1.568	eV per atom
SG	P4/mmm (123)

Lattice parameters (Å, degrees): 5.6937 3.9987 5.6937 90.00 90.00 90.00
Positions (direct):
B 0.0000 0.5000 0.0000
Hg 0.0000 0.0000 0.0000
Sb 0.5000 0.0000 0.0000
Sb 0.0000 0.0000 0.5000
Mo 0.5000 0.5000 0.5000

=====

# 12
TiSn3Ir: relaxed, PBE-GGA.

Computed properties:
SG	Pm-3m (221)
energy of formation	5.25	eV/f.u.
energy relative to the lowest polymorph listed for this composition	422.1	meV per atom

Lattice parameters (Å, degrees): 5.1569 5.1569 5.1569 90.00 90.00 90.00
Positions (direct):
Ti 0.0000 0.0000 0.0000
Sn 0.5000 0.0000 0.0000
Ir 0.5000 0.5000 0.5000
Sn 0.0000 0.5000 0.0000
Sn 0.0000 0.0000 0.5000

=====

Listing spin magnetization for the structures above in their given order: 0.00; 0.00; 0.00; 1.81; 0.00; 0.00; 0.00; 0.00; 0.00; 0.00; 3.52; 1.78 μB/cell.